Entry 1:
Density functional theory data (PBE-GGA) for crystalline KSb2Cl at its relaxed geometry.

Results
* E_form (uncorrected): -75.5 kJ per mole of atoms
* raw total energy: -0.263 Ry per atom
* space group: No. 160
* excess energy over the best structure of this formula in the dataset: 0.000 eV per atom

Cell and atoms, written as CIF:
```
data_KSb2Cl
_chemical_formula_sum 'K1 Sb2 Cl1'
_space_group_name_H-M_alt 'P 1'
_space_group_IT_number 1
_space_group_name_Hall 'P 1'
_cell_length_a 8.844
_cell_length_b 8.844
_cell_length_c 8.844
_cell_angle_alpha 28.42
_cell_angle_beta 28.42
_cell_angle_gamma 28.42
loop_
_atom_site_label
_atom_site_type_symbol
_atom_site_fract_x
_atom_site_fract_y
_atom_site_fract_z
K1 K 0.000 0.000 0.000
Sb1 Sb 0.218 0.218 0.218
Sb2 Sb 0.490 0.490 0.490
Cl1 Cl 0.729 0.729 0.729
```

***

Entry 2:
Density functional theory data (PBE-GGA) for crystalline KSb2Cl7 at its relaxed geometry.

Results
* E_form (uncorrected): -98.7 kJ per mole of atoms
* raw total energy: -0.239 Ry per atom
* space group: No. 65

Cell and atoms, written as CIF:
```
data_KSb2Cl7
_chemical_formula_sum 'K1 Sb2 Cl7'
_space_group_name_H-M_alt 'P 1'
_space_group_IT_number 1
_space_group_name_Hall 'P 1'
_cell_length_a 8.015
_cell_length_b 8.015
_cell_length_c 5.313
_cell_angle_alpha 90.00
_cell_angle_beta 90.00
_cell_angle_gamma 114.05
loop_
_atom_site_label
_atom_site_type_symbol
_atom_site_fract_x
_atom_site_fract_y
_atom_site_fract_z
K1 K 0.000 0.000 0.000
Sb1 Sb 0.293 0.707 0.500
Sb2 Sb 0.707 0.293 0.500
Cl1 Cl 0.048 0.321 0.500
Cl2 Cl 0.281 0.719 0.000
Cl3 Cl 0.321 0.048 0.500
Cl4 Cl 0.500 0.500 0.500
Cl5 Cl 0.679 0.952 0.500
Cl6 Cl 0.719 0.281 0.000
Cl7 Cl 0.952 0.679 0.500
```

***

Entry 3:
Density functional theory data (PBE-GGA) for crystalline KSbCl6 at its relaxed geometry.

Results
* E_form (uncorrected): -99.5 kJ per mole of atoms
* raw total energy: -0.226 Ry per atom
* space group: No. 12
* excess energy over the best structure of this formula in the dataset: 0.019 eV per atom

Cell and atoms, written as CIF:
```
data_KSbCl6
_chemical_formula_sum 'K1 Sb1 Cl6'
_space_group_name_H-M_alt 'P 1'
_space_group_IT_number 1
_space_group_name_Hall 'P 1'
_cell_length_a 6.754
_cell_length_b 6.754
_cell_length_c 6.709
_cell_angle_alpha 104.44
_cell_angle_beta 104.44
_cell_angle_gamma 105.12
loop_
_atom_site_label
_atom_site_type_symbol
_atom_site_fract_x
_atom_site_fract_y
_atom_site_fract_z
K1 K 0.000 0.000 0.000
Sb1 Sb 0.500 0.500 0.500
Cl1 Cl 0.222 0.222 0.542
Cl2 Cl 0.222 0.538 0.221
Cl3 Cl 0.462 0.778 0.779
Cl4 Cl 0.538 0.222 0.221
Cl5 Cl 0.778 0.462 0.779
Cl6 Cl 0.778 0.778 0.458
```

***

> The lowest raw total energy belongs to which entry?

KSb2Cl

***

> Look up the E_form (uncorrected) of the third one.

-99.5 kJ per mole of atoms